VASP calculation (GGA-PBE) on a relaxed CrIn4Ir crystal. Values from VASP.

Results
Magnetic moment, μB per cell: 4.52
Total energy, eV per atom: -4.1164
Formation energy from the elements, meV/atom: 790
N(E_F), states/eV/cell: 3.77

Cell and atoms, written as Quantum ESPRESSO input:
```
&SYSTEM
  ibrav = 0, nat = 6, ntyp = 3
/
ATOMIC_SPECIES
Cr 52.00 Cr.upf
In 114.82 In.upf
Ir 192.22 Ir.upf
ATOMIC_POSITIONS crystal
Cr 0.000 0.000 0.000
In 0.874 0.375 0.375
In 0.375 0.375 0.874
In 0.375 0.874 0.375
In 0.375 0.375 0.375
Ir 0.750 0.750 0.750
CELL_PARAMETERS angstrom
0.000 4.049 4.049
4.049 0.000 4.049
4.049 4.049 0.000
```

***

VASP calculation (GGA-PBE) on a relaxed CrInIr2 crystal. Values from VASP.

Results
Magnetic moment, μB per cell: 2.66
Total energy, eV per atom: -7.4323
Formation energy from the elements, meV/atom: 89
N(E_F), states/eV/cell: 3.50

Cell and atoms, written as Quantum ESPRESSO input:
```
&SYSTEM
  ibrav = 0, nat = 4, ntyp = 3
/
ATOMIC_SPECIES
Cr 52.00 Cr.upf
In 114.82 In.upf
Ir 192.22 Ir.upf
ATOMIC_POSITIONS crystal
Cr 0.000 0.000 0.461
In 0.500 0.500 0.761
Ir 0.000 0.000 0.002
Ir 0.500 0.500 0.276
CELL_PARAMETERS angstrom
-1.820 -2.207 -0.097
1.649 -1.500 3.202
-3.658 2.875 3.230
```

***

VASP calculation (GGA-PBE) on a relaxed Cr2InIr crystal. Values from VASP.

Results
Magnetic moment, μB per cell: 0.10
Total energy, eV per atom: -7.5794
Formation energy from the elements, meV/atom: 132
N(E_F), states/eV/cell: 3.53

Cell and atoms, written as Quantum ESPRESSO input:
```
&SYSTEM
  ibrav = 0, nat = 4, ntyp = 3
/
ATOMIC_SPECIES
Cr 52.00 Cr.upf
In 114.82 In.upf
Ir 192.22 Ir.upf
ATOMIC_POSITIONS crystal
Cr 0.000 0.000 0.000
Cr 0.250 0.250 0.250
In 0.500 0.500 0.500
Ir 0.750 0.750 0.750
CELL_PARAMETERS angstrom
4.450 0.000 0.000
2.225 3.854 0.000
2.225 1.285 3.633
```

***

VASP calculation (GGA-PBE) on a relaxed CrInIr2 crystal. Values from VASP.

Results
Magnetic moment, μB per cell: 2.34
Total energy, eV per atom: -7.1162
Formation energy from the elements, meV/atom: 405
N(E_F), states/eV/cell: 7.55

Cell and atoms, written as Quantum ESPRESSO input:
```
&SYSTEM
  ibrav = 0, nat = 8, ntyp = 3
/
ATOMIC_SPECIES
Cr 52.00 Cr.upf
Ir 192.22 Ir.upf
In 114.82 In.upf
ATOMIC_POSITIONS crystal
Cr 0.500 0.500 0.000
Cr 0.250 0.750 0.500
Ir 0.572 0.125 0.250
Ir 0.178 0.625 0.250
Ir 0.375 0.428 0.750
Ir 0.875 0.822 0.750
In 0.000 0.000 0.000
In 0.750 0.250 0.500
CELL_PARAMETERS angstrom
7.117 0.000 0.000
0.000 7.117 0.000
3.559 3.559 2.702
```